## P2BrCl (PBE)

Data for P2BrCl after structural relaxation.

Computed properties:
- Polymorph energy (0 for the lowest one): 11 meV/atom

Cell: 6.2403 6.2403 6.3230 Å, 87.01 87.01 32.16°
Last column: nearest neighbours and their distance in Å.
Positions (direct):
Cl (0.2489, 0.2489, 0.1526)  1 P 2.08
P (0.6544, 0.6544, 0.7630)  1 Br 2.25, 2 P 2.32
P (0.1022, 0.1022, 0.9913)  1 Cl 2.08, 2 P 2.32
Br (0.4945, 0.4945, 0.5930)  1 P 2.25

***

## Nd6Sb2Te3I (PBE)

Data for Nd6Sb2Te3I after structural relaxation.

Computed properties:
- Raw total energy: -63.1 eV/cell
- Density of states at the Fermi level: 5.9 states/eV per cell

Cell: 4.5301 9.0360 10.1243 Å, 102.47 102.93 90.00°
Last column: nearest neighbours and their distance in Å.
Positions (direct):
Nd (0.9937, 0.7235, 0.9874)  3 Te 3.06-3.19, 1 Sb 3.11, 2 I 3.35
Nd (0.0063, 0.2765, 0.0126)  3 Te 3.06-3.19, 1 Sb 3.11, 2 I 3.35
Te (0.1588, 0.8353, 0.3176)  6 Nd 3.12-3.27
Te (0.5000, 0.5000, 0.0000)  6 Nd 3.06-3.25
I (0.5000, 0.0000, 0.0000)  6 Nd 3.35-3.45
Nd (0.6686, 0.5798, 0.3372)  3 Sb 3.16-3.17, 3 Te 3.25-3.27
Nd (0.3208, 0.9008, 0.6417)  3 Te 3.12-3.25, 2 Sb 3.14, 1 I 3.45
Nd (0.3314, 0.4202, 0.6628)  3 Sb 3.16-3.17, 3 Te 3.25-3.27
Sb (0.8325, 0.6669, 0.6651)  6 Nd 3.11-3.17
Te (0.8412, 0.1647, 0.6824)  6 Nd 3.12-3.27
Sb (0.1675, 0.3331, 0.3349)  6 Nd 3.11-3.17
Nd (0.6792, 0.0992, 0.3583)  3 Te 3.12-3.25, 2 Sb 3.14, 1 I 3.45